Entry from Alexandria via LeMat-Bulk: an optimized crystal structure of CoH2Rh (PBE).

a b c (Å): 4.9283 4.9283 4.9283
angles (deg): 132.43 132.43 69.55
Atoms (fractional coordinates):
Co 0.0000 0.0000 0.0000
Co 0.7500 0.2500 0.5000
H 0.1023 0.6250 0.9773
H 0.3750 0.3523 0.4773
H 0.6477 0.1250 0.0227
H 0.8750 0.8977 0.5227
Rh 0.2500 0.7500 0.5000
Rh 0.5000 0.5000 0.0000

Values from the calculation:
- density of states at the Fermi level (states/eV/f.u.) = 3.22
- energy (eV per cell) = -41.60